Density functional theory data (PBE) for Ac2Sn6Ir after structural relaxation.

Properties
Theoretical density = 8.6 g/cm³
Polymorph energy (0 for the lowest one) = 0.9 kJ per mole of atoms

a b c (Å): 4.637 4.552 24.929
angles (deg): 90.00 90.00 90.00
Space group Amm2 (No. 38)
One atom of each set of equivalent atoms:
Ac1 0.000 0.000 0.000 x2
Ac2 0.000 0.000 0.333 x2
Sn1 0.000 0.000 0.610 x2
Sn2 0.000 0.000 0.726 x2
Sn3 0.500 0.000 0.112 x2
Sn4 0.500 0.000 0.228 x2
Sn5 0.500 0.000 0.448 x2
Sn6 0.500 0.000 0.875 x2
Ir1 0.500 0.000 0.554 x2

---

Density functional theory data (PBE) for Ac3Sn7Ir2 after structural relaxation.

Properties
Theoretical density = 9.6 g/cm³

a b c (Å): 4.781 4.768 14.610
angles (deg): 90.00 99.35 90.00
Space group P2/m (No. 10)
One atom of each set of equivalent atoms:
Ac1 0.000 0.000 0.000 x1
Ac2 0.317 0.500 0.637 x2
Sn1 0.088 0.500 0.174 x2
Sn2 0.220 0.000 0.441 x2
Sn3 0.414 0.000 0.825 x2
Sn4 0.500 0.500 0.000 x1
Ir1 0.128 0.000 0.259 x2

---

Number 1: E_form -4.374 eV per formula unit. Number 2: E_form -7.419 eV per formula unit.